[1]
! MgMnAs2Ru, optimized geometry, DFT GGA-PBE; values from VASP
&SYSTEM
  ibrav = 0, nat = 5, ntyp = 4
/
ATOMIC_SPECIES
Mn 54.94 Mn.upf
Ru 101.07 Ru.upf
Mg 24.30 Mg.upf
As 74.92 As.upf
CELL_PARAMETERS angstrom
-1.9650 1.4651 3.7378
-2.9634 -3.6843 -0.1138
2.8765 -2.3893 2.4487
ATOMIC_POSITIONS crystal
Mn 0.0000 0.0000 0.0000
Ru 0.5000 0.5000 0.5000
Mg 0.0000 0.5000 0.0000
As 0.0000 0.0000 0.5000
As 0.5000 0.0000 0.0000
! Crystal system: tetragonal
! Energy of formation from the pure elements: 0.732 eV/atom
! Symmetry: No. 123



[2]
! MgMnAs2Se, optimized geometry, DFT GGA-PBE; values from VASP
&SYSTEM
  ibrav = 0, nat = 5, ntyp = 4
/
ATOMIC_SPECIES
Se 78.96 Se.upf
Mg 24.30 Mg.upf
Mn 54.94 Mn.upf
As 74.92 As.upf
CELL_PARAMETERS angstrom
5.8190 0.0000 0.0000
0.0000 5.8190 0.0000
0.0000 0.0000 5.6295
ATOMIC_POSITIONS crystal
Se 0.0000 0.0000 0.5000
Mg 0.0000 0.0000 0.0000
Mn 0.5000 0.5000 0.5000
As 0.0000 0.5000 0.0000
As 0.5000 0.0000 0.0000
! Crystal system: tetragonal
! Formation energy without anion corrections: 1.11 eV per atom
! Symmetry: No. 123